# SmSi2Se6

SmSi2Se6 after structural relaxation (PBE, Alexandria via LeMat-Bulk).

Computed properties:
Its formation energy (no corrections) is -0.66 eV/atom. Its symmetry is C2/c (15). The calculated volume is 27.8 Å³/atom. For the density of states at the Fermi level, the calculation gives 0.60 states/eV per atom. The theoretical density is 4.51 g/cm³.

Cell: 6.4418 8.8555 8.8555 Å, 89.36 84.94 84.94°
Positions (direct):
Sm1 0.2500 0.1175 0.8825
Sm2 0.7500 0.8825 0.1175
Si1 0.1968 0.6284 0.7741
Si2 0.3032 0.2259 0.3716
Si3 0.8032 0.3716 0.2259
Si4 0.6968 0.7741 0.6284
Se1 0.3761 0.7160 0.5547
Se2 0.1239 0.4453 0.2840
Se3 0.6239 0.2840 0.4453
Se4 0.8761 0.5547 0.7160
Se5 0.8902 0.8563 0.4205
Se6 0.6098 0.5795 0.1437
Se7 0.1098 0.1437 0.5795
Se8 0.3902 0.4205 0.8563
Se9 0.1736 0.7970 0.9712
Se10 0.3264 0.0288 0.2030
Se11 0.8264 0.2030 0.0288
Se12 0.6736 0.9712 0.7970